Compound: KAu3O
Source: Alexandria via LeMat-Bulk
Functional: PBE
Structure: relaxed

a b c (Å): 4.712 4.712 4.712
angles (deg): 90.00 90.00 90.00
Fractional coordinates of all 5 atoms:
K  0.500  0.500  0.500
Au  0.000  0.500  0.000
Au  0.000  0.000  0.500
Au  0.500  0.000  0.000
O  0.000  0.000  0.000

Computed properties:
- Uncorrected formation energy: 11.0 kJ per mole of atoms
- SG: Pm-3m (221)
- E: -15.32 eV for the cell shown